Entry 1:
Compound: CaZn11Ag
Source: Alexandria via LeMat-Bulk
Functional: GGA-PBE
Structure: optimized geometry

a b c (Å): 5.323 6.901 6.902
angles (deg): 81.22 67.32 66.67
Sites, in units of the cell vectors:
Ca 0.000 0.000 0.000
Zn 0.274 0.216 0.222
Zn 0.726 0.784 0.778
Zn 0.504 0.784 0.222
Zn 0.496 0.216 0.778
Zn 0.348 0.648 0.642
Zn 0.652 0.352 0.358
Zn 0.010 0.352 0.642
Zn 0.990 0.648 0.358
Zn 0.000 0.500 0.000
Zn 0.500 0.000 0.500
Zn 0.000 0.000 0.500
Ag 0.500 0.500 0.000

formation enthalpy at 0 K	-11.3	kJ/mol of atoms
symmetry	C2/m, No. 12

=====

Entry 2:
Compound: Ca8Zn2Ag
Source: Alexandria via LeMat-Bulk
Functional: GGA-PBE
Structure: optimized geometry

a b c (Å): 5.307 7.397 9.818
angles (deg): 106.52 105.68 90.00
Sites, in units of the cell vectors:
Ca 0.405 0.548 0.810
Ca 0.667 0.968 0.335
Ca 0.795 0.684 0.591
Ca 0.969 0.212 0.937
Ca 0.205 0.316 0.409
Ca 0.333 0.032 0.665
Ca 0.595 0.452 0.190
Ca 0.031 0.788 0.063
Zn 0.816 0.288 0.632
Zn 0.184 0.712 0.368
Ag 0.500 0.000 0.000

formation enthalpy at 0 K	-12.7	kJ/mol of atoms
E above lowest polymorph	0.0	meV/atom
symmetry	C2/m, No. 12

=====

Entry 3:
Compound: Ca3Zn4Ag4
Source: Alexandria via LeMat-Bulk
Functional: GGA-PBE
Structure: optimized geometry

a b c (Å): 6.936 6.936 6.936
angles (deg): 109.47 109.47 109.47
Sites, in units of the cell vectors:
Ca 0.500 0.500 0.000
Ca 0.500 0.000 0.500
Ca 0.000 0.500 0.500
Zn 0.000 0.617 0.000
Zn 0.617 0.000 0.000
Zn 0.000 0.000 0.617
Zn 0.383 0.383 0.383
Ag 0.000 0.260 0.000
Ag 0.000 0.000 0.260
Ag 0.260 0.000 0.000
Ag 0.740 0.740 0.740

formation enthalpy at 0 K	-16.6	kJ/mol of atoms
E above lowest polymorph	64.7	meV/atom
symmetry	I-43m, No. 217

=====

no.,ρ (kg/m³),N(E_F) (states/eV/cell),volume (Å³ per cell)
1,6705,4.965,215
2,2620,12.356,354
3,5257,5.132,257